[1]
Crystalline Ho2Er3ScBi6 at its relaxed geometry, computed with GGA-PBE.

Results
- Space-group type: No. 12
- Energy relative to the elements: -0.7901 eV/atom

Unit cell a=9.889 b=9.889 c=8.851 alpha=102.88 beta=102.88 gamma=25.85
Element x y z (fractional)
Ho1 0.166 0.166 0.332
Ho2 0.834 0.834 0.668
Er1 0.168 0.168 0.834
Er2 0.500 0.500 0.500
Er3 0.832 0.832 0.166
Sc1 0.500 0.500 0.000
Bi1 0.001 0.001 0.759
Bi2 0.333 0.333 0.416
Bi3 0.337 0.337 0.920
Bi4 0.663 0.663 0.080
Bi5 0.667 0.667 0.584
Bi6 0.999 0.999 0.241

[2]
Crystalline Pr4UO10 at its relaxed geometry, computed with GGA-PBE.

Results
- Total energy: -8.36 eV/atom
- Space-group type: No. 87

Unit cell a=6.868 b=6.868 c=6.868 alpha=99.45 beta=99.45 gamma=132.19
Element x y z (fractional)
Pr1 0.100 0.700 0.800
Pr2 0.300 0.100 0.399
Pr3 0.700 0.900 0.601
Pr4 0.900 0.300 0.200
U1 0.500 0.500 0.000
O1 0.086 0.363 0.911
O2 0.175 0.086 0.722
O3 0.250 0.750 0.500
O4 0.363 0.453 0.278
O5 0.453 0.175 0.089
O6 0.547 0.825 0.911
O7 0.637 0.547 0.722
O8 0.750 0.250 0.500
O9 0.825 0.914 0.278
O10 0.914 0.637 0.089

[3]
Crystalline CsTlP2O at its relaxed geometry, computed with GGA-PBE.

Results
- Space-group type: No. 123
- ΔE to the lowest computed polymorph: 0 meV/atom

Unit cell a=5.431 b=5.431 c=4.660 alpha=90.00 beta=90.00 gamma=90.00
Element x y z (fractional)
Cs1 0.000 0.000 0.000
Tl1 0.500 0.500 0.500
P1 0.000 0.500 0.500
P2 0.500 0.000 0.500
O1 0.500 0.500 0.000

[4]
Crystalline GdIn2Cu9 at its relaxed geometry, computed with GGA-PBE.

Results
- Space-group type: No. 127
- Energy relative to the elements: -0.1353 eV/atom

Unit cell a=8.497 b=8.497 c=5.003 alpha=90.00 beta=90.00 gamma=90.00
Element x y z (fractional)
Gd1 0.000 0.000 0.000
Gd2 0.500 0.500 0.000
In1 0.124 0.376 0.000
In2 0.376 0.876 0.000
In3 0.624 0.124 0.000
In4 0.876 0.624 0.000
Cu1 0.000 0.500 0.500
Cu2 0.063 0.204 0.500
Cu3 0.177 0.677 0.247
Cu4 0.177 0.677 0.753
Cu5 0.204 0.937 0.500
Cu6 0.296 0.437 0.500
Cu7 0.323 0.177 0.247
Cu8 0.323 0.177 0.753
Cu9 0.437 0.704 0.500
Cu10 0.500 0.000 0.500
Cu11 0.563 0.296 0.500
Cu12 0.677 0.823 0.247
Cu13 0.677 0.823 0.753
Cu14 0.704 0.563 0.500
Cu15 0.796 0.063 0.500
Cu16 0.823 0.323 0.247
Cu17 0.823 0.323 0.753
Cu18 0.937 0.796 0.500

[5]
Crystalline Ba2TbTc3O12 at its relaxed geometry, computed with GGA-PBE.

Results
- Total energy: -7.47 eV/atom
- Space-group type: No. 166

Unit cell a=6.965 b=6.965 c=6.965 alpha=64.37 beta=64.37 gamma=64.37
Element x y z (fractional)
Ba1 0.118 0.118 0.118
Ba2 0.882 0.882 0.882
Tb1 0.500 0.500 0.500
Tc1 0.000 0.500 0.500
Tc2 0.500 0.000 0.500
Tc3 0.500 0.500 0.000
O1 0.103 0.621 0.621
O2 0.213 0.213 0.593
O3 0.213 0.593 0.213
O4 0.379 0.379 0.897
O5 0.379 0.897 0.379
O6 0.407 0.787 0.787
O7 0.593 0.213 0.213
O8 0.621 0.103 0.621
O9 0.621 0.621 0.103
O10 0.787 0.407 0.787
O11 0.787 0.787 0.407
O12 0.897 0.379 0.379

[6]
Crystalline CuSi2 at its relaxed geometry, computed with GGA-PBE.

Results
- Total energy: -4.68 eV/atom
- Space-group type: No. 160

Unit cell a=2.627 b=2.627 c=20.661 alpha=90.00 beta=90.00 gamma=120.00
Element x y z (fractional)
Cu1 0.000 0.000 0.000
Cu2 0.333 0.667 0.667
Cu3 0.667 0.333 0.333
Si1 0.000 0.000 0.231
Si2 0.000 0.000 0.438
Si3 0.333 0.667 0.105
Si4 0.333 0.667 0.898
Si5 0.667 0.333 0.565
Si6 0.667 0.333 0.771